CaCdSe: relaxed, PBE-GGA.

Final energy, eV/cell: -9.019
ΔE_f (raw), eV/atom: -0.87
Space group: No. 107

a b c (Å): 6.576 6.576 3.778
angles (deg): 73.30 73.31 33.39
Atoms (fractional coordinates):
Ca: 0.960 0.960 0.040
Se: 0.363 0.363 0.637
Cd: 0.677 0.677 0.323

***

Pr2Cd3In: relaxed, PBE-GGA.

Formation energy from the elements, meV per atom: -392
Final energy, eV/cell: -34.795
Space group: No. 69

a b c (Å): 6.233 6.233 10.102
angles (deg): 113.86 113.86 71.86
Atoms (fractional coordinates):
Pr: 0.750 0.250 0.500
Pr: 0.753 0.247 0.000
Pr: 0.250 0.750 0.500
Pr: 0.247 0.753 0.000
Cd: 0.833 0.833 0.166
Cd: 0.668 0.668 0.834
Cd: 0.167 0.167 0.834
Cd: 0.332 0.332 0.166
Cd: 0.166 0.166 0.332
Cd: 0.834 0.834 0.668
In: 0.666 0.666 0.332
In: 0.334 0.334 0.668

***

RePdSe2: relaxed, PBE-GGA.

Final energy, eV/cell: -47.644
ΔE_f (raw), eV/atom: 0.20
Space group: No. 122

a b c (Å): 5.778 5.778 6.791
angles (deg): 64.83 64.83 90.00
Atoms (fractional coordinates):
Re: 0.000 0.000 0.000
Re: 0.750 0.250 0.500
Se: 0.644 0.125 0.250
Se: 0.106 0.625 0.250
Se: 0.375 0.356 0.750
Se: 0.875 0.894 0.750
Pd: 0.500 0.500 0.000
Pd: 0.250 0.750 0.500

***

YCoTe4: relaxed, PBE-GGA.

Final energy, eV/cell: -22.961
ΔE_f (raw), eV/atom: 0.53
Space group: No. 216

a b c (Å): 6.256 6.256 6.256
angles (deg): 60.00 60.00 60.00
Last column: magnetic moment on the atom in μB.
Atoms (fractional coordinates):
Y: 0.750 0.750 0.750  -0.10
Co: 0.000 0.000 0.000  2.12
Te: 0.876 0.375 0.375  0.01
Te: 0.375 0.375 0.876  0.01
Te: 0.375 0.876 0.375  0.01
Te: 0.375 0.375 0.375  0.01

***

BaHfHSe2: relaxed, PBE-GGA.

Final energy, eV/cell: -28.315
Space group: No. 123

a b c (Å): 5.316 5.316 4.092
angles (deg): 90.00 90.00 90.00
Atoms (fractional coordinates):
H: 0.000 0.000 0.500
Hf: 0.000 0.000 0.000
Ba: 0.500 0.500 0.500
Se: 0.000 0.500 0.000
Se: 0.500 0.000 0.000

***

AlZn2In: relaxed, PBE-GGA.

Formation energy from the elements, meV per atom: 144
Final energy, eV/cell: -8.453
Space group: No. 160

a b c (Å): 4.350 4.350 5.520
angles (deg): 66.80 66.80 60.00
Atoms (fractional coordinates):
Al: 0.683 0.683 0.951
Zn: 0.060 0.060 0.821
Zn: 0.268 0.268 0.195
In: 0.489 0.489 0.533

***

Zn6Ni3Ir: relaxed, PBE-GGA.

Formation energy from the elements, meV per atom: -31
Final energy, eV/cell: -68.316
Space group: No. 14

a b c (Å): 6.904 6.421 6.385
angles (deg): 90.00 106.67 90.00
Atoms (fractional coordinates):
Zn: 0.668 0.204 0.919
Zn: 0.675 0.083 0.560
Zn: 0.778 0.372 0.308
Zn: 0.222 0.628 0.692
Zn: 0.325 0.917 0.440
Zn: 0.332 0.796 0.081
Zn: 0.168 0.296 0.419
Zn: 0.175 0.417 0.060
Zn: 0.278 0.128 0.808
Zn: 0.722 0.872 0.192
Zn: 0.825 0.583 0.940
Zn: 0.832 0.704 0.581
Ni: 0.550 0.834 0.800
Ni: 0.500 0.500 0.000
Ni: 0.450 0.166 0.200
Ni: 0.050 0.666 0.300
Ni: 0.000 0.000 0.500
Ni: 0.950 0.334 0.700
Ir: 0.500 0.500 0.500
Ir: 0.000 0.000 0.000

***

BeNbH: relaxed, PBE-GGA.

Final energy, eV/cell: -35.454
Space group: No. 8

a b c (Å): 10.121 5.061 5.061
angles (deg): 140.22 151.87 28.13
Atoms (fractional coordinates):
Be: 0.857 0.085 0.915
Be: 0.346 0.462 0.538
Nb: 0.344 0.190 0.810
Nb: 0.850 0.384 0.616
H: 0.430 0.528 0.472
H: 0.343 0.805 0.195

***

Ac2Zn4Cd3Ga: relaxed, PBE-GGA.

Formation energy from the elements, meV per atom: -281
Final energy, eV/cell: -21.891
Space group: No. 115

a b c (Å): 4.681 4.681 10.729
angles (deg): 90.00 90.00 90.00
Atoms (fractional coordinates):
Ac: 0.500 0.000 0.251
Ac: 0.000 0.500 0.749
Zn: 0.500 0.500 0.000
Zn: 0.000 0.000 0.000
Zn: 0.500 0.000 0.627
Zn: 0.000 0.500 0.373
Cd: 0.000 0.000 0.500
Cd: 0.500 0.000 0.872
Cd: 0.000 0.500 0.128
Ga: 0.500 0.500 0.500

***

K2CaPt: relaxed, PBE-GGA.

Formation energy from the elements, meV per atom: -124
Final energy, eV/cell: -10.733
Space group: No. 44

a b c (Å): 7.927 7.927 7.927
angles (deg): 151.22 136.11 53.34
Atoms (fractional coordinates):
Ca: 0.346 0.846 0.500
K: 0.005 0.005 0.000
K: 0.670 0.170 0.500
Pt: 0.480 0.480 0.000

***

CePr2Se3: relaxed, PBE-GGA.

Final energy, eV/cell: -37.000
ΔE_f (raw), eV/atom: -1.84
Space group: No. 71

a b c (Å): 4.236 6.003 7.368
angles (deg): 114.04 106.70 90.00
Last column: magnetic moment on the atom in μB.
Atoms (fractional coordinates):
Ce: 0.500 0.500 0.500  0.83
Pr: 0.830 0.830 0.160  0.02
Pr: 0.170 0.170 0.840  0.02
Se: 0.837 0.337 0.175  -0.01
Se: 0.163 0.663 0.825  -0.01
Se: 0.500 0.000 0.500  -0.01

***

HoSbAu: relaxed, PBE-GGA.

Final energy, eV/cell: -14.246
ΔE_f (raw), eV/atom: -0.76
Space group: No. 156

a b c (Å): 4.231 4.512 4.512
angles (deg): 120.00 90.00 90.00
Atoms (fractional coordinates):
Sb: 0.256 0.333 0.667
Au: 0.043 0.000 0.000
Ho: 0.701 0.667 0.333